# 1
Computed, not measured: a relaxed MnNiB2 crystal at the PBE level of DFT.

```
MnNiB2
1.0
1.498 -4.618 0.000
1.498 4.618 0.000
0.000 0.000 4.758
Mn Ni B
2 2 4
Direct
0.044 0.956 0.750
0.956 0.044 0.250
0.228 0.772 0.250
0.772 0.228 0.750
0.405 0.595 0.563
0.405 0.595 0.937
0.595 0.405 0.063
0.595 0.405 0.437
```

ΔH_f (0 K) (eV per formula unit): -1.303
Crystal system: orthorhombic
Energy (eV per formula unit): -29.61
Relative energy among the computed polymorphs (eV/atom): 0.0000

# 2
Computed, not measured: a relaxed Ba2SrYO4 crystal at the PBE level of DFT.

```
Ba2SrYO4
1.0
6.401 0.000 0.000
0.000 3.656 0.000
-2.117 0.000 6.287
Ba Sr Y O
2 1 1 4
Direct
0.000 0.000 0.000
0.500 0.500 0.000
0.000 0.500 0.500
0.500 0.000 0.500
0.263 0.000 0.708
0.286 0.500 0.300
0.714 0.500 0.700
0.737 0.000 0.292
```

Crystal system: monoclinic
Energy (eV per formula unit): -52.97
Uncorrected formation energy (meV/atom): -2644

# 3
Computed, not measured: a relaxed PAu4 crystal at the PBE level of DFT.

```
PAu4
1.0
4.712 0.000 0.000
0.000 4.712 0.000
0.000 0.000 4.712
P Au
1 4
Direct
0.000 0.000 0.000
0.000 0.000 0.500
0.000 0.500 0.000
0.500 0.000 0.000
0.500 0.500 0.500
```

ΔH_f (0 K) (eV per formula unit): 1.672
Crystal system: cubic
Energy (eV per formula unit): -16.85
Relative energy among the computed polymorphs (eV/atom): 0.1675

no.,V (A^3/atom),ρ (g/cm3),total moment (μB per atom)
1,8.23,6.82,0.31
2,18.39,5.81,0.00
3,20.92,13.00,0.00